[1]
Material: CaLaAg2
Method: DFT, GGA-PBE
State: optimized geometry

Structure (POSCAR):
```
CaLaAg2
1.0
5.725 -1.792 0.000
5.725 1.792 0.000
-1.434 0.000 5.203
Ca La Ag
1 1 2
direct
0.000 0.000 0.000
0.209 0.209 0.625
0.458 0.458 0.460
0.755 0.755 0.156
```

E_form in kJ/mol of atoms: -18.4
Relative energy among the computed polymorphs in eV/atom: 0.122
Symmetry: Cm, No. 8

***

[2]
Material: Li3Np2VS6
Method: DFT, GGA-PBE
State: optimized geometry

Structure (POSCAR):
```
Li3Np2VS6
1.0
3.263 -5.658 0.000
3.263 5.658 0.000
-2.164 0.000 6.162
Li Np V S
3 2 1 6
direct
0.000 0.000 0.000
0.339 0.661 0.000
0.661 0.339 0.000
0.167 0.833 0.500
0.833 0.167 0.500
0.500 0.500 0.500
0.105 0.417 0.252
0.268 0.268 0.743
0.417 0.105 0.252
0.583 0.895 0.748
0.732 0.732 0.257
0.895 0.583 0.748
```

E_form (uncorrected) in eV/atom: -1.275
Symmetry: C2/m, No. 12

***

[3]
Material: Ce2ErGe3Pt4
Method: DFT, GGA-PBE
State: optimized geometry

Structure (POSCAR):
```
Ce2ErGe3Pt4
1.0
4.261 0.000 0.000
0.000 4.261 0.000
0.000 0.000 11.273
Ce Er Ge Pt
2 1 3 4
direct
0.000 0.500 0.226
0.500 0.000 0.774
0.000 0.000 0.500
0.000 0.500 0.875
0.500 0.000 0.125
0.500 0.500 0.500
0.000 0.000 0.000
0.000 0.500 0.656
0.500 0.000 0.344
0.500 0.500 0.000
```

E_form in kJ/mol of atoms: -90.6
Symmetry: P-4m2, No. 115

***

How do the records compare in total moment? In the order shown, they have 0.0 10.0 1.5 Bohr magnetons per cell.
How do the records compare in density? In the order shown, they have 6.14 5.39 11.73 g/cm³.